Entry 1:
Density functional theory data (PBE) for a relaxed AlVCr2S6 crystal.

Space-group type: No. 146
Formation energy without anion corrections (eV per atom): -0.795
N(E_F) (states/eV per atom): 0.310

a b c (Å): 6.453 6.453 6.453
angles (deg): 56.04 56.04 56.04
Sites, in units of the cell vectors:
Al: 0.000 0.000 0.000
V: 0.504 0.504 0.504
Cr: 0.190 0.190 0.190
Cr: 0.691 0.691 0.691
S: 0.096 0.783 0.404
S: 0.284 0.594 0.909
S: 0.404 0.096 0.783
S: 0.594 0.909 0.284
S: 0.783 0.404 0.096
S: 0.909 0.284 0.594

=====

Entry 2:
Density functional theory data (PBE) for a relaxed Y2AlCrS6 crystal.

Space-group type: No. 146
Formation energy without anion corrections (eV per atom): -1.375

a b c (Å): 6.725 6.725 6.725
angles (deg): 58.33 58.33 58.33
Sites, in units of the cell vectors:
Y: 0.000 0.000 0.000
Y: 0.497 0.497 0.497
Al: 0.210 0.210 0.210
Cr: 0.707 0.707 0.707
S: 0.060 0.850 0.442
S: 0.347 0.563 0.938
S: 0.442 0.060 0.850
S: 0.563 0.938 0.347
S: 0.850 0.442 0.060
S: 0.938 0.347 0.563

=====

Entry 3:
Density functional theory data (PBE) for a relaxed AlZnCrS4 crystal.

Space-group type: No. 74
Formation energy without anion corrections (eV per atom): -0.889

a b c (Å): 7.112 7.112 7.112
angles (deg): 120.14 119.99 89.89
Sites, in units of the cell vectors:
Al: 0.500 0.000 0.000
Al: 0.500 0.500 0.500
Zn: 0.124 0.374 0.750
Zn: 0.876 0.626 0.250
Cr: 0.000 0.000 0.000
Cr: 0.500 0.000 0.500
S: 0.259 0.239 0.020
S: 0.260 0.240 0.480
S: 0.260 0.780 0.020
S: 0.280 0.761 0.520
S: 0.720 0.239 0.480
S: 0.740 0.220 0.980
S: 0.740 0.760 0.520
S: 0.741 0.761 0.980